Density functional theory data (PBE-GGA) for a geometry-optimized SmYTl2 structure.

a b c (Å): 3.829 3.829 7.659
angles (deg): 90.00 90.00 90.00
Space group P4/mmm (No. 123)
Symmetry-distinct sites (fractional):
Sm 0.000 0.000 0.000 (multiplicity 1)
Y 0.000 0.000 0.500 (multiplicity 1)
Tl 0.500 0.500 0.256 (multiplicity 2)

## Properties
Energy above the most stable polymorph in this dataset   0 meV/atom
Theoretical density   9.6 g cm⁻³
E_form   -1.533 eV/f.u.

Density functional theory data (PBE-GGA) for a geometry-optimized Sm2YTl4 structure.

a b c (Å): 5.794 5.794 15.748
angles (deg): 90.00 90.00 90.00
Space group I4/mmm (No. 139)
Symmetry-distinct sites (fractional):
Sm 0.000 0.000 0.101 (multiplicity 4)
Y 0.000 0.000 0.500 (multiplicity 2)
Tl 0.000 0.000 0.304 (multiplicity 4)
Tl 0.000 0.500 0.000 (multiplicity 4)

## Properties
Energy above the most stable polymorph in this dataset   386 meV/atom
Theoretical density   7.6 g cm⁻³
E_form   1.026 eV/f.u.

Density functional theory data (PBE-GGA) for a geometry-optimized Sm2YTl structure.

a b c (Å): 7.855 7.855 7.855
angles (deg): 90.00 90.00 90.00
Space group Fm-3m (No. 225)
Symmetry-distinct sites (fractional):
Sm 0.250 0.250 0.250 (multiplicity 8)
Y 0.000 0.000 0.000 (multiplicity 4)
Tl 0.000 0.000 0.500 (multiplicity 4)

## Properties
Energy above the most stable polymorph in this dataset   152 meV/atom
Theoretical density   8.1 g cm⁻³
E_form   -0.178 eV/f.u.

Density functional theory data (PBE-GGA) for a geometry-optimized Sm4YTl2 structure.

a b c (Å): 6.750 10.689 6.245
angles (deg): 90.00 97.18 90.00
Space group C2/m (No. 12)
Symmetry-distinct sites (fractional):
Sm 0.000 0.212 0.000 (multiplicity 4)
Sm 0.250 0.250 0.500 (multiplicity 4)
Y 0.000 0.000 0.500 (multiplicity 2)
Tl 0.076 0.500 0.766 (multiplicity 4)

## Properties
Energy above the most stable polymorph in this dataset   46 meV/atom
Theoretical density   8.2 g cm⁻³
E_form   0.610 eV/f.u.

Density functional theory data (PBE-GGA) for a geometry-optimized Sm5YTl2 structure.

a b c (Å): 5.5178 5.5178 20.2867
angles (deg): 90.00 90.00 120.00
Space group P6_3/mmc (No. 194)
Symmetry-distinct sites (fractional):
Sm 0.0000 0.0000 0.1622 (multiplicity 4)
Sm 0.3333 0.6667 0.0615 (multiplicity 4)
Sm 0.3333 0.6667 0.2500 (multiplicity 2)
Y 0.3333 0.6667 0.7500 (multiplicity 2)
Tl 0.3333 0.6667 0.5961 (multiplicity 4)

## Properties
Energy above the most stable polymorph in this dataset   55 meV/atom
Theoretical density   7.8 g cm⁻³
E_form   -0.481 eV/f.u.

Density functional theory data (PBE-GGA) for a geometry-optimized SmY2Tl2 structure.

a b c (Å): 3.812 5.435 14.189
angles (deg): 90.00 97.74 90.00
Space group P2_1/m (No. 11)
Symmetry-distinct sites (fractional):
Sm 0.147 0.250 0.296 (multiplicity 2)
Y 0.050 0.750 0.100 (multiplicity 2)
Y 0.237 0.750 0.475 (multiplicity 2)
Tl 0.355 0.250 0.710 (multiplicity 2)
Tl 0.452 0.750 0.906 (multiplicity 2)

## Properties
Energy above the most stable polymorph in this dataset   0 meV/atom
Theoretical density   8.4 g cm⁻³
E_form   -1.520 eV/f.u.

Density functional theory data (PBE-GGA) for a geometry-optimized SmYTl structure.

a b c (Å): 5.2959 5.2959 3.7583
angles (deg): 90.00 90.00 120.00
Space group P3m1 (No. 156)
Symmetry-distinct sites (fractional):
Sm 0.0000 0.0000 0.0000 (multiplicity 1)
Y 0.6667 0.3333 0.5348 (multiplicity 1)
Tl 0.3333 0.6667 0.3648 (multiplicity 1)

## Properties
Energy above the most stable polymorph in this dataset   121 meV/atom
Theoretical density   8.1 g cm⁻³
E_form   -0.494 eV/f.u.

Density functional theory data (PBE-GGA) for a geometry-optimized Sm3Y2Tl4 structure.

a b c (Å): 7.312 15.738 9.732
angles (deg): 90.00 90.00 90.00
Space group Cmce (No. 64)
Symmetry-distinct sites (fractional):
Sm 0.000 0.000 0.000 (multiplicity 4)
Sm 0.250 0.215 0.250 (multiplicity 8)
Y 0.000 0.107 0.557 (multiplicity 8)
Tl 0.000 0.196 0.973 (multiplicity 8)
Tl 0.250 0.011 0.250 (multiplicity 8)

## Properties
Theoretical density   8.6 g cm⁻³
E_form   -1.821 eV/f.u.

Density functional theory data (PBE-GGA) for a geometry-optimized Sm15Y4Tl structure.

a b c (Å): 5.060 5.060 25.624
angles (deg): 90.00 90.00 90.00
Space group P4/mmm (No. 123)
Symmetry-distinct sites (fractional):
Sm 0.000 0.000 0.000 (multiplicity 1)
Sm 0.000 0.000 0.197 (multiplicity 2)
Sm 0.000 0.000 0.399 (multiplicity 2)
Sm 0.000 0.500 0.097 (multiplicity 4)
Sm 0.000 0.500 0.298 (multiplicity 4)
Sm 0.000 0.500 0.500 (multiplicity 2)
Y 0.500 0.500 0.198 (multiplicity 2)
Y 0.500 0.500 0.399 (multiplicity 2)
Tl 0.500 0.500 0.000 (multiplicity 1)

## Properties
Theoretical density   7.1 g cm⁻³
E_form   -0.413 eV/f.u.

Density functional theory data (PBE-GGA) for a geometry-optimized Sm4YTl2 structure.

a b c (Å): 5.5735 5.5735 26.7650
angles (deg): 90.00 90.00 120.00
Space group R-3m (No. 166, hexagonal axes)
Symmetry-distinct sites (fractional):
Sm 0.0000 0.0000 0.1306 (multiplicity 6)
Sm 0.0000 0.0000 0.2660 (multiplicity 6)
Y 0.0000 0.0000 0.5000 (multiplicity 3)
Tl 0.0000 0.0000 0.3842 (multiplicity 6)

## Properties
Energy above the most stable polymorph in this dataset   0 meV/atom
Theoretical density   7.6 g cm⁻³
E_form   0.286 eV/f.u.

Density functional theory data (PBE-GGA) for a geometry-optimized SmY2Tl9 structure.

a b c (Å): 4.786 4.786 14.353
angles (deg): 90.00 90.00 90.00
Space group P4/mmm (No. 123)
Symmetry-distinct sites (fractional):
Sm 0.000 0.000 0.000 (multiplicity 1)
Y 0.000 0.000 0.334 (multiplicity 2)
Tl 0.000 0.500 0.168 (multiplicity 4)
Tl 0.000 0.500 0.500 (multiplicity 2)
Tl 0.500 0.500 0.000 (multiplicity 1)
Tl 0.500 0.500 0.334 (multiplicity 2)

## Properties
Theoretical density   11.0 g cm⁻³
E_form   -3.184 eV/f.u.

Density functional theory data (PBE-GGA) for a geometry-optimized Sm9Y2Tl structure.

a b c (Å): 5.022 5.022 15.425
angles (deg): 90.00 90.00 90.00
Space group P4/mmm (No. 123)
Symmetry-distinct sites (fractional):
Sm 0.000 0.000 0.000 (multiplicity 1)
Sm 0.000 0.000 0.330 (multiplicity 2)
Sm 0.000 0.500 0.162 (multiplicity 4)
Sm 0.000 0.500 0.500 (multiplicity 2)
Y 0.500 0.500 0.332 (multiplicity 2)
Tl 0.500 0.500 0.000 (multiplicity 1)

## Properties
Theoretical density   7.4 g cm⁻³
E_form   -0.522 eV/f.u.

Density functional theory data (PBE-GGA) for a geometry-optimized SmY6Tl2 structure.

a b c (Å): 15.648 11.568 6.059
angles (deg): 90.00 96.98 90.00
Space group C2/c (No. 15)
Symmetry-distinct sites (fractional):
Sm 0.000 0.106 0.250 (multiplicity 4)
Y 0.057 0.382 0.515 (multiplicity 8)
Y 0.122 0.143 0.805 (multiplicity 8)
Y 0.230 0.126 0.334 (multiplicity 8)
Tl 0.159 0.373 0.091 (multiplicity 8)

## Properties
Energy above the most stable polymorph in this dataset   52 meV/atom
Theoretical density   6.7 g cm⁻³
E_form   -1.004 eV/f.u.

Density functional theory data (PBE-GGA) for a geometry-optimized Sm5Y4Tl structure.

a b c (Å): 10.680 10.680 5.939
angles (deg): 90.00 90.00 90.00
Space group I4mm (No. 107)
Symmetry-distinct sites (fractional):
Sm 0.000 0.000 0.000 (multiplicity 2)
Sm 0.186 0.186 0.714 (multiplicity 8)
Y 0.000 0.317 0.203 (multiplicity 8)
Tl 0.000 0.000 0.479 (multiplicity 2)

## Properties
Energy above the most stable polymorph in this dataset   189 meV/atom
Theoretical density   6.4 g cm⁻³
E_form   1.382 eV/f.u.

Density functional theory data (PBE-GGA) for a geometry-optimized Sm5Y2Tl4 structure.

a b c (Å): 23.423 3.617 8.454
angles (deg): 90.00 103.23 90.00
Space group C2/m (No. 12)
Symmetry-distinct sites (fractional):
Sm 0.000 0.000 0.000 (multiplicity 2)
Sm 0.124 0.500 0.984 (multiplicity 4)
Sm 0.176 0.500 0.451 (multiplicity 4)
Y 0.229 0.000 0.818 (multiplicity 4)
Tl 0.030 0.500 0.329 (multiplicity 4)
Tl 0.089 0.000 0.647 (multiplicity 4)

## Properties
Theoretical density   8.3 g cm⁻³
E_form   -0.072 eV/f.u.

Density functional theory data (PBE-GGA) for a geometry-optimized SmY4Tl5 structure.

a b c (Å): 3.776 3.776 19.439
angles (deg): 90.00 90.00 90.00
Space group P4/mmm (No. 123)
Symmetry-distinct sites (fractional):
Sm 0.000 0.000 0.000 (multiplicity 1)
Y 0.000 0.000 0.203 (multiplicity 2)
Y 0.000 0.000 0.401 (multiplicity 2)
Tl 0.500 0.500 0.104 (multiplicity 2)
Tl 0.500 0.500 0.302 (multiplicity 2)
Tl 0.500 0.500 0.500 (multiplicity 1)

## Properties
Theoretical density   9.2 g cm⁻³
E_form   -3.777 eV/f.u.

Density functional theory data (PBE-GGA) for a geometry-optimized Sm14YTl structure.

a b c (Å): 7.174 7.174 10.208
angles (deg): 90.00 90.00 90.00
Space group P4/mmm (No. 123)
Symmetry-distinct sites (fractional):
Sm 0.000 0.000 0.000 (multiplicity 1)
Sm 0.000 0.500 0.000 (multiplicity 2)
Sm 0.000 0.500 0.500 (multiplicity 2)
Sm 0.249 0.249 0.253 (multiplicity 8)
Sm 0.500 0.500 0.000 (multiplicity 1)
Y 0.500 0.500 0.500 (multiplicity 1)
Tl 0.000 0.000 0.500 (multiplicity 1)

## Properties
Theoretical density   7.6 g cm⁻³
E_form   -0.303 eV/f.u.

Density functional theory data (PBE-GGA) for a geometry-optimized Sm2Y2Tl7 structure.

a b c (Å): 11.672 9.437 6.133
angles (deg): 90.00 96.86 90.00
Space group C2/m (No. 12)
Symmetry-distinct sites (fractional):
Sm 0.229 0.000 0.184 (multiplicity 4)
Y 0.000 0.312 0.500 (multiplicity 4)
Tl 0.000 0.500 0.000 (multiplicity 2)
Tl 0.037 0.000 0.749 (multiplicity 4)
Tl 0.230 0.332 0.274 (multiplicity 8)

## Properties
Theoretical density   9.5 g cm⁻³
E_form   -1.214 eV/f.u.

Density functional theory data (PBE-GGA) for a geometry-optimized SmYTl structure.

a b c (Å): 5.4830 5.4830 6.7475
angles (deg): 90.00 90.00 120.00
Space group P6_3/mmc (No. 194)
Symmetry-distinct sites (fractional):
Sm 0.0000 0.0000 0.0000 (multiplicity 2)
Y 0.3333 0.6667 0.2500 (multiplicity 2)
Tl 0.3333 0.6667 0.7500 (multiplicity 2)

## Properties
Energy above the most stable polymorph in this dataset   0 meV/atom
Theoretical density   8.4 g cm⁻³
E_form   -0.858 eV/f.u.

Density functional theory data (PBE-GGA) for a geometry-optimized Sm4Y2Tl structure.

a b c (Å): 16.666 3.538 8.718
angles (deg): 90.00 117.25 90.00
Space group C2/m (No. 12)
Symmetry-distinct sites (fractional):
Sm 0.081 0.000 0.206 (multiplicity 4)
Sm 0.137 0.500 0.907 (multiplicity 4)
Y 0.215 0.000 0.640 (multiplicity 4)
Tl 0.000 0.000 0.500 (multiplicity 2)

## Properties
Theoretical density   7.1 g cm⁻³
E_form   -0.036 eV/f.u.

Density functional theory data (PBE-GGA) for a geometry-optimized Sm2Y2Tl3 structure.

a b c (Å): 3.567 32.397 3.566
angles (deg): 90.00 90.00 90.00
Space group Cmmm (No. 65)
Symmetry-distinct sites (fractional):
Sm 0.000 0.069 0.000 (multiplicity 4)
Y 0.000 0.202 0.000 (multiplicity 4)
Tl 0.000 0.362 0.500 (multiplicity 4)
Tl 0.000 0.500 0.500 (multiplicity 2)

## Properties
Energy above the most stable polymorph in this dataset   16 meV/atom
Theoretical density   8.8 g cm⁻³
E_form   -1.733 eV/f.u.

Density functional theory data (PBE-GGA) for a geometry-optimized Sm5Y4Tl structure.

a b c (Å): 3.620 3.620 24.714
angles (deg): 90.00 90.00 90.00
Space group P4/mmm (No. 123)
Symmetry-distinct sites (fractional):
Sm 0.000 0.000 0.000 (multiplicity 1)
Sm 0.000 0.000 0.205 (multiplicity 2)
Sm 0.000 0.000 0.412 (multiplicity 2)
Y 0.500 0.500 0.102 (multiplicity 2)
Y 0.500 0.500 0.308 (multiplicity 2)
Tl 0.500 0.500 0.500 (multiplicity 1)

## Properties
Energy above the most stable polymorph in this dataset   0 meV/atom
Theoretical density   6.7 g cm⁻³
E_form   -0.508 eV/f.u.

no.,E_tot (eV for the cell shown)
1,-17.45
2,-48.68
3,-73.79
4,-58.93
5,-70.55
6,-47.80
7,-14.04
8,-153.48
9,-99.42
10,-89.36
11,-42.13
12,-58.29
13,-196.96
14,-100.87
15,-92.12
16,-46.18
17,-75.20
18,-80.29
19,-28.82
20,-68.41
21,-62.40
22,-52.33